Entry 1:
# PBE Hf2ZrPbW, relaxed
# Crystal system ... tetragonal
# Distance to the lowest polymorph of the same formula ... 4.446 kcal/mol of atoms
# Energy relative to the elements ... 1.969 eV per atom
# Symmetry ... P4/mmm (123)
data_Hf2ZrPbW
_chemical_formula_sum 'Hf2 Zr1 Pb1 W1'
_symmetry_space_group_name_H-M 'P 1'
_symmetry_Int_Tables_number 1
_cell_length_a 5.180
_cell_length_b 5.180
_cell_length_c 5.222
_cell_angle_alpha 90.00
_cell_angle_beta 90.00
_cell_angle_gamma 90.00
loop_
_symmetry_equiv_pos_as_xyz
'x,y,z'
loop_
_atom_site_label
_atom_site_type_symbol
_atom_site_fract_x
_atom_site_fract_y
_atom_site_fract_z
Hf1 Hf 0.000 0.500 0.000
Hf2 Hf 0.500 0.000 0.000
Zr1 Zr 0.000 0.000 0.500
Pb1 Pb 0.000 0.000 0.000
W1 W 0.500 0.500 0.500

---

Entry 2:
# PBE Er3Sb2C, relaxed
# Crystal system ... monoclinic
# Symmetry ... C2/c (15)
# Formation energy (no corrections) ... -3.6 eV/f.u.
data_Er3Sb2C
_chemical_formula_sum 'Er6 Sb4 C2'
_symmetry_space_group_name_H-M 'P 1'
_symmetry_Int_Tables_number 1
_cell_length_a 7.237
_cell_length_b 7.237
_cell_length_c 6.570
_cell_angle_alpha 100.03
_cell_angle_beta 100.03
_cell_angle_gamma 114.75
loop_
_symmetry_equiv_pos_as_xyz
'x,y,z'
loop_
_atom_site_label
_atom_site_type_symbol
_atom_site_fract_x
_atom_site_fract_y
_atom_site_fract_z
Er1 Er 0.000 0.500 0.500
Er2 Er 0.107 0.246 0.004
Er3 Er 0.246 0.107 0.504
Er4 Er 0.500 0.000 0.000
Er5 Er 0.754 0.893 0.496
Er6 Er 0.893 0.754 0.996
Sb1 Sb 0.274 0.726 0.250
Sb2 Sb 0.426 0.574 0.750
Sb3 Sb 0.574 0.426 0.250
Sb4 Sb 0.726 0.274 0.750
C1 C 0.066 0.934 0.750
C2 C 0.934 0.066 0.250

---

Entry 3:
# PBE Pm5ZnAg4, relaxed
# Crystal system ... tetragonal
# Energy relative to the elements ... -0.285 eV per atom
# Symmetry ... P4/mmm (123)
data_Pm5ZnAg4
_chemical_formula_sum 'Pm5 Zn1 Ag4'
_symmetry_space_group_name_H-M 'P 1'
_symmetry_Int_Tables_number 1
_cell_length_a 3.704
_cell_length_b 3.704
_cell_length_c 18.681
_cell_angle_alpha 90.00
_cell_angle_beta 90.00
_cell_angle_gamma 90.00
loop_
_symmetry_equiv_pos_as_xyz
'x,y,z'
loop_
_atom_site_label
_atom_site_type_symbol
_atom_site_fract_x
_atom_site_fract_y
_atom_site_fract_z
Pm1 Pm 0.000 0.000 0.000
Pm2 Pm 0.000 0.000 0.202
Pm3 Pm 0.000 0.000 0.405
Pm4 Pm 0.000 0.000 0.595
Pm5 Pm 0.000 0.000 0.798
Zn1 Zn 0.500 0.500 0.500
Ag1 Ag 0.500 0.500 0.100
Ag2 Ag 0.500 0.500 0.303
Ag3 Ag 0.500 0.500 0.697
Ag4 Ag 0.500 0.500 0.900

---

Entry 4:
# PBE BeZn2AsH, relaxed
# Crystal system ... tetragonal
# Total DFT energy (no corrections) ... -2.4237 eV per atom
# Symmetry ... P4/mmm (123)
data_BeZn2AsH
_chemical_formula_sum 'Be1 Zn2 As1 H1'
_symmetry_space_group_name_H-M 'P 1'
_symmetry_Int_Tables_number 1
_cell_length_a 4.111
_cell_length_b 4.111
_cell_length_c 3.806
_cell_angle_alpha 90.00
_cell_angle_beta 90.00
_cell_angle_gamma 90.00
loop_
_symmetry_equiv_pos_as_xyz
'x,y,z'
loop_
_atom_site_label
_atom_site_type_symbol
_atom_site_fract_x
_atom_site_fract_y
_atom_site_fract_z
Be1 Be 0.000 0.000 0.000
Zn1 Zn 0.000 0.500 0.500
Zn2 Zn 0.500 0.000 0.500
As1 As 0.500 0.500 0.000
H1 H 0.000 0.000 0.500

---

| no. | size of the total moment (μB per formula unit) |
| --- | --- |
| 1 | 0.00 |
| 2 | 0.00 |
| 3 | 0.00 |
| 4 | 0.00 |